A plane-wave DFT calculation with PBEsol was carried out for a relaxed NaH8SeNO6 crystal.

Values from the calculation:
Space-group type: P2_12_12_1
Electronic total energy (eV/atom): -5.175

Cell lengths 6.480, 8.144, 12.865 Å; angles 90.00, 90.00, 90.00 degrees
Element x y z (fractional)
Na: 0.085 0.233 0.488
Na: 0.415 0.767 0.988
Na: 0.585 0.267 0.512
Na: 0.915 0.733 0.012
H: 0.012 0.704 0.330
H: 0.129 0.075 0.092
H: 0.131 0.610 0.818
H: 0.139 0.050 0.224
H: 0.148 0.487 0.912
H: 0.209 0.751 0.191
H: 0.243 0.223 0.166
H: 0.246 0.425 0.645
H: 0.254 0.575 0.145
H: 0.257 0.777 0.666
H: 0.291 0.249 0.691
H: 0.352 0.513 0.412
H: 0.361 0.950 0.724
H: 0.369 0.390 0.318
H: 0.371 0.925 0.592
H: 0.488 0.296 0.830
H: 0.512 0.796 0.670
H: 0.629 0.425 0.908
H: 0.631 0.890 0.182
H: 0.639 0.450 0.776
H: 0.648 0.013 0.088
H: 0.709 0.749 0.809
H: 0.743 0.277 0.834
H: 0.746 0.075 0.355
H: 0.754 0.925 0.855
H: 0.757 0.723 0.334
H: 0.791 0.251 0.309
H: 0.852 0.987 0.588
H: 0.861 0.550 0.276
H: 0.869 0.110 0.682
H: 0.871 0.575 0.408
H: 0.988 0.204 0.170
Se: 0.113 0.125 0.887
Se: 0.387 0.875 0.387
Se: 0.613 0.375 0.113
Se: 0.887 0.625 0.613
N: 0.124 0.136 0.164
N: 0.376 0.864 0.664
N: 0.624 0.364 0.836
N: 0.876 0.636 0.336
O: 0.099 0.300 0.952
O: 0.107 0.599 0.681
O: 0.141 0.971 0.970
O: 0.164 0.606 0.893
O: 0.191 0.683 0.128
O: 0.191 0.871 0.302
O: 0.309 0.129 0.802
O: 0.309 0.317 0.628
O: 0.336 0.394 0.393
O: 0.359 0.029 0.470
O: 0.393 0.401 0.181
O: 0.401 0.700 0.452
O: 0.599 0.200 0.048
O: 0.607 0.901 0.319
O: 0.641 0.529 0.030
O: 0.664 0.894 0.107
O: 0.691 0.629 0.698
O: 0.691 0.817 0.872
O: 0.809 0.183 0.372
O: 0.809 0.371 0.198
O: 0.836 0.106 0.607
O: 0.859 0.471 0.530
O: 0.893 0.099 0.819
O: 0.901 0.800 0.548

A plane-wave DFT calculation with PBEsol was carried out for a relaxed NaHSN2 crystal.

Values from the calculation:
Space-group type: P4/mmm
Electronic total energy (eV/atom): -3.667

Cell lengths 3.770, 3.770, 3.340 Å; angles 90.00, 90.00, 90.00 degrees
Element x y z (fractional)
Na: 0.000 0.000 0.000
H: 0.500 0.500 0.500
S: 0.500 0.500 0.000
N: 0.000 0.500 0.500
N: 0.500 0.000 0.500

A plane-wave DFT calculation with PBEsol was carried out for a relaxed Nb2HN crystal.

Values from the calculation:
Space-group type: I-42d
Electronic total energy (eV/atom): -8.795

Cell lengths 5.616, 5.616, 5.616 Å; angles 131.43, 131.43, 71.13 degrees
Element x y z (fractional)
Nb: 0.116 0.625 0.991
Nb: 0.375 0.366 0.491
Nb: 0.634 0.125 0.009
Nb: 0.875 0.884 0.509
H: 0.000 0.000 0.000
H: 0.750 0.250 0.500
N: 0.250 0.750 0.500
N: 0.500 0.500 0.000

A plane-wave DFT calculation with PBEsol was carried out for a relaxed NbH2PdN crystal.

Values from the calculation:
Space-group type: P4/mmm
Electronic total energy (eV/atom): -5.198

Cell lengths 3.685, 3.685, 3.831 Å; angles 90.00, 90.00, 90.00 degrees
Element x y z (fractional)
Nb: 0.000 0.000 0.000
H: 0.000 0.500 0.500
H: 0.500 0.000 0.500
Pd: 0.500 0.500 0.000
N: 0.500 0.500 0.500

A plane-wave DFT calculation with PBEsol was carried out for a relaxed NdH10S3N3O11 crystal.

Values from the calculation:
Space-group type: P-1
Electronic total energy (eV/atom): -6.010

Cell lengths 7.853, 9.166, 9.189 Å; angles 60.66, 84.60, 89.60 degrees
Element x y z (fractional)
Nd: 0.225 0.371 0.291
Nd: 0.775 0.629 0.709
H: 0.123 0.975 0.183
H: 0.149 0.252 0.881
H: 0.223 0.450 0.730
H: 0.274 0.014 0.365
H: 0.294 0.010 0.543
H: 0.322 0.896 0.178
H: 0.336 0.304 0.634
H: 0.370 0.773 0.741
H: 0.373 0.886 0.838
H: 0.489 0.670 0.488
H: 0.511 0.330 0.512
H: 0.627 0.114 0.162
H: 0.630 0.227 0.259
H: 0.664 0.696 0.366
H: 0.678 0.104 0.822
H: 0.706 0.990 0.457
H: 0.726 0.986 0.635
H: 0.777 0.550 0.270
H: 0.851 0.748 0.119
H: 0.877 0.025 0.817
S: 0.120 0.759 0.880
S: 0.146 0.717 0.398
S: 0.408 0.322 0.918
S: 0.592 0.678 0.082
S: 0.854 0.283 0.602
S: 0.880 0.241 0.120
N: 0.220 0.905 0.253
N: 0.254 0.327 0.805
N: 0.302 0.857 0.766
N: 0.698 0.143 0.234
N: 0.746 0.673 0.195
N: 0.780 0.095 0.747
O: 0.024 0.254 0.544
O: 0.027 0.734 0.762
O: 0.040 0.872 0.933
O: 0.135 0.608 0.323
O: 0.159 0.598 0.022
O: 0.267 0.658 0.525
O: 0.300 0.083 0.419
O: 0.331 0.294 0.082
O: 0.384 0.313 0.524
O: 0.486 0.817 0.061
O: 0.496 0.488 0.817
O: 0.504 0.512 0.183
O: 0.514 0.183 0.939
O: 0.616 0.687 0.476
O: 0.669 0.706 0.918
O: 0.700 0.917 0.581
O: 0.733 0.342 0.475
O: 0.841 0.402 0.978
O: 0.865 0.392 0.677
O: 0.960 0.128 0.067
O: 0.973 0.266 0.238
O: 0.976 0.746 0.456

A plane-wave DFT calculation with PBEsol was carried out for a relaxed NdH4S2NO8 crystal.

Values from the calculation:
Space-group type: P2_1/c
Electronic total energy (eV/atom): -6.455

Cell lengths 8.826, 7.130, 10.773 Å; angles 90.00, 92.05, 90.00 degrees
Element x y z (fractional)
Nd: 0.052 0.170 0.348
Nd: 0.052 0.330 0.848
Nd: 0.948 0.670 0.152
Nd: 0.948 0.830 0.652
H: 0.348 0.564 0.643
H: 0.348 0.936 0.143
H: 0.403 0.707 0.151
H: 0.403 0.793 0.651
H: 0.478 0.133 0.904
H: 0.478 0.367 0.404
H: 0.486 0.630 0.748
H: 0.486 0.870 0.248
H: 0.514 0.130 0.752
H: 0.514 0.370 0.252
H: 0.522 0.633 0.596
H: 0.522 0.867 0.096
H: 0.597 0.207 0.349
H: 0.597 0.293 0.849
H: 0.652 0.064 0.857
H: 0.652 0.436 0.357
S: 0.177 0.667 0.389
S: 0.177 0.833 0.889
S: 0.266 0.165 0.587
S: 0.266 0.335 0.087
S: 0.734 0.665 0.913
S: 0.734 0.835 0.413
S: 0.823 0.167 0.111
S: 0.823 0.333 0.611
N: 0.438 0.654 0.659
N: 0.438 0.846 0.159
N: 0.562 0.154 0.841
N: 0.562 0.346 0.341
O: 0.100 0.508 0.318
O: 0.100 0.992 0.818
O: 0.114 0.673 0.514
O: 0.114 0.827 0.014
O: 0.126 0.049 0.558
O: 0.126 0.451 0.058
O: 0.126 0.665 0.812
O: 0.126 0.835 0.312
O: 0.233 0.191 0.182
O: 0.233 0.309 0.682
O: 0.293 0.243 0.966
O: 0.293 0.257 0.466
O: 0.340 0.650 0.394
O: 0.340 0.850 0.894
O: 0.392 0.045 0.629
O: 0.392 0.455 0.129
O: 0.608 0.545 0.871
O: 0.608 0.955 0.371
O: 0.660 0.150 0.106
O: 0.660 0.350 0.606
O: 0.707 0.743 0.534
O: 0.707 0.757 0.034
O: 0.767 0.691 0.318
O: 0.767 0.809 0.818
O: 0.874 0.165 0.688
O: 0.874 0.335 0.188
O: 0.874 0.549 0.942
O: 0.874 0.951 0.442
O: 0.886 0.173 0.986
O: 0.886 0.327 0.486
O: 0.900 0.008 0.182
O: 0.900 0.492 0.682

A plane-wave DFT calculation with PBEsol was carried out for a relaxed NiPH6NO5 crystal.

Values from the calculation:
Space-group type: Pmn2_1
Electronic total energy (eV/atom): -5.913

Cell lengths 5.493, 8.835, 4.660 Å; angles 90.00, 90.00, 90.00 degrees
Element x y z (fractional)
Ni: 0.000 0.019 0.000
Ni: 0.500 0.981 0.500
P: 0.000 0.811 0.423
P: 0.500 0.189 0.923
H: 0.000 0.542 0.673
H: 0.000 0.547 0.044
H: 0.144 0.179 0.418
H: 0.156 0.409 0.867
H: 0.344 0.591 0.367
H: 0.356 0.821 0.918
H: 0.500 0.453 0.544
H: 0.500 0.458 0.173
H: 0.644 0.821 0.918
H: 0.656 0.591 0.367
H: 0.844 0.409 0.867
H: 0.856 0.179 0.418
N: 0.000 0.475 0.863
N: 0.500 0.525 0.363
O: 0.000 0.195 0.291
O: 0.000 0.638 0.363
O: 0.000 0.835 0.747
O: 0.225 0.887 0.271
O: 0.275 0.113 0.771
O: 0.500 0.165 0.247
O: 0.500 0.362 0.863
O: 0.500 0.805 0.791
O: 0.725 0.113 0.771
O: 0.775 0.887 0.271

A plane-wave DFT calculation with PBEsol was carried out for a relaxed SrP3H15N4O10 crystal.

Values from the calculation:
Space-group type: P2_1/c
Electronic total energy (eV/atom): -5.978

Cell lengths 10.716, 10.362, 12.775 Å; angles 90.00, 120.07, 90.00 degrees
Element x y z (fractional)
Sr: 0.158 0.025 0.454
Sr: 0.158 0.475 0.954
Sr: 0.842 0.525 0.046
Sr: 0.842 0.975 0.546
P: 0.043 0.717 0.502
P: 0.043 0.783 0.002
P: 0.086 0.137 0.851
P: 0.086 0.363 0.351
P: 0.265 0.153 0.110
P: 0.265 0.347 0.610
P: 0.735 0.653 0.390
P: 0.735 0.847 0.890
P: 0.914 0.637 0.649
P: 0.914 0.863 0.149
P: 0.957 0.217 0.998
P: 0.957 0.283 0.498
H: 0.099 0.550 0.635
H: 0.099 0.950 0.135
H: 0.121 0.183 0.199
H: 0.121 0.317 0.699
H: 0.188 0.576 0.289
H: 0.188 0.924 0.789
H: 0.192 0.733 0.254
H: 0.192 0.767 0.754
H: 0.211 0.523 0.486
H: 0.211 0.977 0.986
H: 0.291 0.626 0.229
H: 0.291 0.874 0.729
H: 0.319 0.708 0.086
H: 0.319 0.792 0.586
H: 0.344 0.671 0.373
H: 0.344 0.829 0.873
H: 0.348 0.506 0.825
H: 0.348 0.994 0.325
H: 0.398 0.614 0.931
H: 0.398 0.886 0.431
H: 0.406 0.145 0.742
H: 0.406 0.355 0.242
H: 0.425 0.250 0.024
H: 0.425 0.250 0.524
H: 0.456 0.617 0.175
H: 0.456 0.883 0.675
H: 0.470 0.547 0.676
H: 0.470 0.953 0.176
H: 0.482 0.194 0.936
H: 0.482 0.306 0.436
H: 0.518 0.694 0.564
H: 0.518 0.806 0.064
H: 0.530 0.047 0.824
H: 0.530 0.453 0.324
H: 0.544 0.117 0.325
H: 0.544 0.383 0.825
H: 0.575 0.750 0.476
H: 0.575 0.750 0.976
H: 0.594 0.645 0.758
H: 0.594 0.855 0.258
H: 0.602 0.114 0.569
H: 0.602 0.386 0.069
H: 0.652 0.006 0.675
H: 0.652 0.494 0.175
H: 0.656 0.171 0.127
H: 0.656 0.329 0.627
H: 0.681 0.208 0.414
H: 0.681 0.292 0.914
H: 0.709 0.126 0.271
H: 0.709 0.374 0.771
H: 0.789 0.023 0.014
H: 0.789 0.477 0.514
H: 0.808 0.233 0.246
H: 0.808 0.267 0.746
H: 0.812 0.076 0.211
H: 0.812 0.424 0.711
H: 0.879 0.683 0.301
H: 0.879 0.817 0.801
H: 0.901 0.050 0.865
H: 0.901 0.450 0.365
N: 0.056 0.643 0.625
N: 0.056 0.857 0.125
N: 0.110 0.154 0.116
N: 0.110 0.346 0.616
N: 0.222 0.078 0.981
N: 0.222 0.422 0.481
N: 0.254 0.650 0.288
N: 0.254 0.850 0.788
N: 0.746 0.150 0.212
N: 0.746 0.350 0.712
N: 0.778 0.578 0.519
N: 0.778 0.922 0.019
N: 0.890 0.654 0.384
N: 0.890 0.846 0.884
N: 0.944 0.143 0.875
N: 0.944 0.357 0.375
O: 0.025 0.640 0.014
O: 0.025 0.860 0.514
O: 0.049 0.040 0.753
O: 0.049 0.460 0.253
O: 0.121 0.226 0.333
O: 0.121 0.274 0.833
O: 0.171 0.680 0.490
O: 0.171 0.820 0.990
O: 0.312 0.210 0.602
O: 0.312 0.290 0.102
O: 0.325 0.546 0.884
O: 0.325 0.954 0.384
O: 0.349 0.621 0.123
O: 0.349 0.879 0.623
O: 0.373 0.072 0.216
O: 0.373 0.428 0.716
O: 0.460 0.107 0.825
O: 0.460 0.393 0.325
O: 0.492 0.746 0.489
O: 0.492 0.754 0.989
O: 0.508 0.246 0.011
O: 0.508 0.254 0.511
O: 0.540 0.607 0.675
O: 0.540 0.893 0.175
O: 0.627 0.572 0.284
O: 0.627 0.928 0.784
O: 0.651 0.121 0.377
O: 0.651 0.379 0.877
O: 0.675 0.046 0.616
O: 0.675 0.454 0.116
O: 0.688 0.710 0.898
O: 0.688 0.790 0.398
O: 0.829 0.180 0.010
O: 0.829 0.320 0.510
O: 0.879 0.726 0.167
O: 0.879 0.774 0.667
O: 0.951 0.540 0.747
O: 0.951 0.960 0.247
O: 0.975 0.140 0.486
O: 0.975 0.360 0.986